[1]
VASP calculation (PBE-GGA) on a relaxed Cs2NpCd2Se4 crystal.

Output
spin magnetization	3.2	μB per formula unit
E_form (uncorrected)	-87	kJ per mole of atoms
E	-0.315	Ry/atom

Cell lengths 4.179, 8.976, 9.012 Å; angles 113.70, 103.41, 90.00 degrees
Element x y z (fractional)
1 Cs 0.129 0.568 0.257
2 Cs 0.871 0.432 0.743
3 Np 0.000 0.000 0.000
4 Cd 0.691 0.023 0.382
5 Cd 0.309 0.977 0.618
6 Se 0.172 0.214 0.344
7 Se 0.828 0.786 0.656
8 Se 0.526 0.798 0.052
9 Se 0.474 0.202 0.948

[2]
VASP calculation (PBE-GGA) on a relaxed CsNp2CdTe4 crystal.

Output
spin magnetization	9.0	μB per formula unit
E_form (uncorrected)	-61	kJ per mole of atoms
E	-0.416	Ry/atom

Cell lengths 4.585, 8.318, 16.067 Å; angles 90.00, 90.00, 106.00 degrees
Element x y z (fractional)
1 Cs 0.121 0.241 0.750
2 Cs 0.879 0.759 0.250
3 Np 0.374 0.748 0.558
4 Np 0.626 0.252 0.058
5 Np 0.626 0.252 0.442
6 Np 0.374 0.748 0.942
7 Cd 0.837 0.675 0.750
8 Cd 0.163 0.325 0.250
9 Te 0.258 0.516 0.102
10 Te 0.742 0.484 0.602
11 Te 0.742 0.484 0.898
12 Te 0.258 0.516 0.398
13 Te 0.000 0.000 0.500
14 Te 0.000 0.000 0.000
15 Te 0.441 0.882 0.750
16 Te 0.559 0.118 0.250

[3]
VASP calculation (PBE-GGA) on a relaxed CsNpCdTe3 crystal.

Output
spin magnetization	4.0	μB per formula unit
E_form (uncorrected)	-72	kJ per mole of atoms
E	-0.350	Ry/atom

Cell lengths 4.623, 10.146, 11.250 Å; angles 110.70, 90.00, 90.00 degrees
Element x y z (fractional)
1 Cs 0.250 0.222 0.248
2 Cs 0.750 0.778 0.752
3 Np 0.250 0.675 0.139
4 Np 0.750 0.325 0.861
5 Cd 0.250 0.085 0.613
6 Cd 0.750 0.915 0.387
7 Te 0.750 0.885 0.128
8 Te 0.250 0.115 0.872
9 Te 0.250 0.781 0.452
10 Te 0.750 0.219 0.548
11 Te 0.750 0.474 0.154
12 Te 0.250 0.526 0.846